NaMnGaCl6: relaxed, PBE-GGA.

a = 6.170 Å, b = 6.251 Å, c = 6.251 Å
α = 120.00°, β = 90.00°, γ = 90.00°
Site moments in Bohr magnetons follow the coordinates.
Positions (direct):
1 Cl 0.714 0.350 0.040  -0.01
2 Cl 0.714 0.960 0.310  -0.01
3 Cl 0.714 0.690 0.650  -0.01
4 Cl 0.286 0.690 0.040  -0.01
5 Cl 0.286 0.350 0.310  -0.01
6 Cl 0.286 0.960 0.650  -0.01
7 Ga 0.500 0.000 0.000  -0.09
8 Mn 0.500 0.667 0.333  1.15
9 Na 0.000 0.333 0.667  0.00

Values from the calculation:
* SG: P312 (149)
* uncorrected formation energy: -1031 meV per atom
* volume: 23.2 Å³ per atom
* M_tot: 0.109 μB/atom